[1]
An optimized crystal structure of Ga3CoTe, computed with GGA-PBE.

a b c (Å): 4.685 4.685 4.685
angles (deg): 90.00 90.00 90.00
Fractional positions:
Te (0.500, 0.500, 0.500)
Co (0.000, 0.000, 0.000)
Ga (0.000, 0.500, 0.000)
Ga (0.000, 0.000, 0.500)
Ga (0.500, 0.000, 0.000)

Output
- E above lowest polymorph: 0 meV per atom
- Crystal system: cubic
- DFT total energy: -3.899 eV/atom
- Size of the total moment: 0.00 μB/f.u.

[2]
An optimized crystal structure of MgPb2Se, computed with GGA-PBE.

a b c (Å): 5.326 5.326 5.326
angles (deg): 60.00 60.00 60.00
Fractional positions:
Mg (0.500, 0.500, 0.500)
Pb (0.000, 0.000, 0.000)
Pb (0.250, 0.250, 0.250)
Se (0.750, 0.750, 0.750)

Output
- Crystal system: cubic
- DFT total energy: -3.173 eV/atom
- Size of the total moment: 0.00 μB/f.u.

[3]
An optimized crystal structure of Dy2HoTmTh, computed with GGA-PBE.

a b c (Å): 6.297 8.467 6.284
angles (deg): 96.43 90.00 90.00
Fractional positions:
Dy (0.700, 0.687, 0.783)
Dy (0.700, 0.313, 0.717)
Dy (0.300, 0.687, 0.283)
Dy (0.300, 0.313, 0.217)
Ho (0.000, 0.000, 0.000)
Ho (0.000, 0.000, 0.500)
Tm (0.184, 0.500, 0.750)
Tm (0.816, 0.500, 0.250)
Th (0.552, 0.000, 0.250)
Th (0.448, 0.000, 0.750)

Output
- Formation enthalpy at 0 K: 0.3381 eV per atom
- Crystal system: monoclinic
- DFT total energy: -4.797 eV/atom
- Size of the total moment: 0.00 μB/f.u.

[4]
An optimized crystal structure of MgTcBOs2, computed with GGA-PBE.

a b c (Å): 4.085 4.221 4.085
angles (deg): 90.00 90.00 90.00
Each line ends with the local moment (μB).
Fractional positions:
Mg (0.000, 0.500, 0.000)  -0.01
B (0.000, 0.000, 0.000)  0.01
Os (0.000, 0.000, 0.500)  0.18
Os (0.500, 0.000, 0.000)  0.09
Tc (0.500, 0.500, 0.500)  1.69

Output
- Formation enthalpy at 0 K: 0.4686 eV per atom
- Crystal system: tetragonal
- DFT total energy: -7.751 eV/atom
- Size of the total moment: 2.19 μB/f.u.

[5]
An optimized crystal structure of ZrBiPdAu, computed with GGA-PBE.

a b c (Å): 4.875 4.875 4.875
angles (deg): 60.00 60.00 60.00
Fractional positions:
Zr (0.000, 0.000, 0.000)
Au (0.250, 0.250, 0.250)
Bi (0.750, 0.750, 0.750)
Pd (0.500, 0.500, 0.500)

Output
- Formation enthalpy at 0 K: -0.2993 eV per atom
- Crystal system: cubic
- DFT total energy: -5.524 eV/atom
- Size of the total moment: 0.00 μB/f.u.

[6]
An optimized crystal structure of Cs2AcInSe4, computed with GGA-PBE.

a b c (Å): 9.315 9.315 9.505
angles (deg): 120.56 120.56 90.75
Fractional positions:
Cs (0.500, 0.000, 0.000)
Cs (0.500, 0.000, 0.500)
Cs (0.000, 0.000, 0.500)
Cs (0.500, 0.500, 0.000)
Ac (0.000, 0.500, 0.000)
Ac (0.000, 0.500, 0.500)
In (0.500, 0.500, 0.500)
In (0.000, 0.000, 0.000)
Se (0.198, 0.744, 0.971)
Se (0.756, 0.302, 0.529)
Se (0.244, 0.698, 0.471)
Se (0.802, 0.256, 0.029)
Se (0.764, 0.741, 0.950)
Se (0.759, 0.736, 0.550)
Se (0.241, 0.264, 0.450)
Se (0.236, 0.259, 0.050)

Output
- Crystal system: monoclinic
- DFT total energy: -4.002 eV/atom
- Size of the total moment: 0.00 μB/f.u.

[7]
An optimized crystal structure of RbMg6Tl4, computed with GGA-PBE.

a b c (Å): 4.662 8.631 8.631
angles (deg): 120.00 90.00 90.00
Fractional positions:
Rb (0.000, 0.000, 0.000)
Mg (0.000, 0.533, 0.067)
Mg (0.500, 0.585, 0.792)
Mg (0.000, 0.533, 0.467)
Mg (0.000, 0.933, 0.467)
Mg (0.500, 0.208, 0.792)
Mg (0.500, 0.208, 0.415)
Tl (0.500, 0.802, 0.604)
Tl (0.500, 0.396, 0.198)
Tl (0.500, 0.802, 0.198)
Tl (0.000, 0.333, 0.667)

Output
- Formation enthalpy at 0 K: -0.0419 eV per atom
- Crystal system: hexagonal
- DFT total energy: -1.860 eV/atom
- Size of the total moment: 0.00 μB/f.u.

[8]
An optimized crystal structure of AcTb3PmEr, computed with GGA-PBE.

a b c (Å): 5.583 8.967 8.789
angles (deg): 92.61 90.00 108.14
Fractional positions:
Ac (0.401, 0.802, 0.910)
Ac (0.599, 0.198, 0.090)
Tb (0.886, 0.773, 0.173)
Tb (0.750, 0.499, 0.831)
Tb (0.440, 0.880, 0.348)
Tb (0.250, 0.501, 0.169)
Tb (0.560, 0.120, 0.652)
Tb (0.114, 0.227, 0.827)
Pm (0.085, 0.170, 0.399)
Pm (0.915, 0.830, 0.601)
Er (0.723, 0.447, 0.419)
Er (0.277, 0.553, 0.581)

Output
- Formation enthalpy at 0 K: 0.1099 eV per atom
- Crystal system: monoclinic
- DFT total energy: -4.442 eV/atom
- Size of the total moment: 0.01 μB/f.u.

- What is the formula in the fifth record?
  ZrBiPdAu